# 1
A relaxed CaPaPt2O8 crystal, computed with GGA-PBE.

**Crystal system**: tetragonal
**Calculated density**: 7.41 g cm⁻³
**Uncorrected formation energy**: -1495 meV per atom
**DOS(E_F)**: 10.50 states/eV/f.u.
**Magnetization**: 0.08 μB per formula unit

Unit cell a=6.125 b=6.125 c=6.125 alpha=108.91 beta=108.91 gamma=110.61
Fractional positions:
O: 0.954 0.637 0.683
O: 0.548 0.716 0.831
Pt: 0.500 0.500 0.000
O: 0.363 0.046 0.317
Pa: 0.000 0.000 0.000
Ca: 0.250 0.750 0.500
O: 0.284 0.452 0.169
O: 0.284 0.115 0.831
O: 0.729 0.046 0.683
O: 0.954 0.271 0.317
O: 0.885 0.716 0.169
Pt: 0.750 0.250 0.500

# 2
A relaxed AcEr2Hf crystal, computed with GGA-PBE.

**Crystal system**: trigonal
**Calculated density**: 9.94 g cm⁻³
**Offset from the most stable computed form**: 0 meV per atom
**Calculated formation energy**: 0.19 eV/atom
**DOS(E_F)**: 4.77 states/eV/f.u.
**Magnetization**: 0.00 μB per formula unit

Unit cell a=3.537 b=3.537 c=11.598 alpha=81.23 beta=81.23 gamma=60.00
Fractional positions:
Hf: 0.000 0.000 0.000
Ac: 0.500 0.500 0.500
Er: 0.742 0.742 0.775
Er: 0.258 0.258 0.225

# 3
A relaxed Pr2Dy4Th crystal, computed with GGA-PBE.

**Crystal system**: tetragonal
**Calculated density**: 6.93 g cm⁻³
**Offset from the most stable computed form**: 693 meV per atom
**Calculated formation energy**: 0.72 eV/atom
**DOS(E_F)**: 8.71 states/eV/f.u.
**Magnetization**: 0.00 μB per formula unit

Unit cell a=5.719 b=5.719 c=9.439 alpha=107.63 beta=107.63 gamma=90.00
Fractional positions:
Dy: 0.179 0.179 0.359
Th: 0.000 0.000 0.000
Pr: 0.617 0.617 0.235
Dy: 0.000 0.500 0.000
Dy: 0.821 0.821 0.641
Dy: 0.500 0.000 0.000
Pr: 0.383 0.383 0.765

# 4
A relaxed SrRhCl2 crystal, computed with GGA-PBE.

**Crystal system**: tetragonal
**Calculated density**: 4.82 g cm⁻³
**Offset from the most stable computed form**: 218 meV per atom
**Uncorrected formation energy**: -802 meV per atom
**DOS(E_F)**: 3.90 states/eV/f.u.
**Magnetization**: 0.98 μB per formula unit

Unit cell a=6.247 b=6.247 c=6.247 alpha=142.41 beta=142.41 gamma=54.22
Fractional positions:
Cl: 0.000 0.000 0.000
Cl: 0.250 0.750 0.500
Sr: 0.750 0.250 0.500
Rh: 0.500 0.500 0.000

# 5
A relaxed Li2FeSi crystal, computed with GGA-PBE.

**Crystal system**: tetragonal
**Calculated density**: 2.95 g cm⁻³
**Uncorrected formation energy**: 286 meV per atom
**DOS(E_F)**: 2.58 states/eV/f.u.
**Magnetization**: 1.88 μB per formula unit

Unit cell a=6.900 b=6.900 c=5.398 alpha=50.27 beta=50.27 gamma=90.00
Fractional positions:
Fe: 0.000 0.000 0.000
Si: 0.250 0.750 0.500
Li: 0.875 0.874 0.750
Li: 0.126 0.625 0.250
Fe: 0.750 0.250 0.500
Li: 0.375 0.376 0.750
Si: 0.500 0.500 0.000
Li: 0.624 0.125 0.250

# 6
A relaxed Ac6OsPt3 crystal, computed with GGA-PBE.

**Crystal system**: monoclinic
**Calculated density**: 10.61 g cm⁻³
**Calculated formation energy**: -0.72 eV/atom
**DOS(E_F)**: 5.18 states/eV/f.u.
**Magnetization**: 0.00 μB per formula unit

Unit cell a=7.358 b=8.078 c=11.259 alpha=90.00 beta=89.24 gamma=90.00
Fractional positions:
Os: 0.000 0.000 0.000
Ac: 0.841 0.940 0.245
Pt: 0.551 0.894 0.753
Ac: 0.318 0.822 0.076
Ac: 0.159 0.060 0.755
Ac: 0.341 0.560 0.745
Ac: 0.672 0.189 0.581
Ac: 0.682 0.178 0.924
Pt: 0.449 0.106 0.247
Ac: 0.182 0.322 0.424
Ac: 0.828 0.689 0.919
Pt: 0.500 0.500 0.000
Pt: 0.051 0.606 0.253
Ac: 0.172 0.311 0.081
Os: 0.500 0.500 0.500
Ac: 0.818 0.678 0.576
Pt: 0.949 0.394 0.747
Ac: 0.328 0.811 0.419
Ac: 0.659 0.440 0.255
Pt: 0.000 0.000 0.500